(1)
## Ta5Cd3 (PBE)

Data for Ta5Cd3 after structural relaxation.

Cell lengths 8.121, 7.586, 7.578 Å; angles 100.69, 92.00, 136.50 degrees
Element x y z (fractional)
Cd 0.998 0.139 0.391
Cd 0.251 0.236 0.986
Cd 0.503 0.894 0.142
Cd 0.498 0.107 0.859
Cd 0.750 0.765 0.015
Cd 0.003 0.861 0.609
Ta 0.004 0.624 0.886
Ta 0.236 0.993 0.266
Ta 0.250 0.730 0.480
Ta 0.264 0.530 0.757
Ta 0.496 0.381 0.620
Ta 0.505 0.619 0.381
Ta 0.737 0.471 0.244
Ta 0.751 0.271 0.521
Ta 0.765 0.008 0.735
Ta 0.997 0.377 0.115

## Properties
Polymorph energy (0 for the lowest one) (eV per formula unit): 0.00
Space-group type: C2/c
ΔE_f (eV/atom): 0.299
VASP energy (eV/atom): -7.4523

=====

(2)
## TaCd3 (PBE)

Data for TaCd3 after structural relaxation.

Cell lengths 4.298, 4.298, 4.298 Å; angles 90.00, 90.00, 90.00 degrees
Element x y z (fractional)
Cd 0.000 0.000 0.000
Cd 0.500 0.000 0.500
Cd 0.500 0.500 0.000
Ta 0.000 0.500 0.500

## Properties
Space-group type: Pm-3m
ΔE_f (eV/atom): 0.304
VASP energy (eV/atom): -3.3456